Record 1
Material: CsAlO2
Method: DFT, PBE
State: optimized geometry

The space group is R-3m (No. 166, hexagonal axes) and the conventional cell measures 4.0645, 4.0645 and 21.0669 Å, with angles of 90.00, 90.00 and 120.00 degrees. Symmetry generates all atoms from Cs at (0.0000, 0.0000, 0.0000), Al at (0.0000, 0.0000, 0.5000) and O at (0.0000, 0.0000, 0.4221).

The total energy is -5.1430 eV per atom. Its uncorrected formation energy is -1515 meV per atom.

Record 2
Material: Cs2AlO3
Method: DFT, PBE
State: optimized geometry

The space group is Cmcm (No. 63) and the conventional cell measures 12.704, 7.306 and 5.955 Å, with angles of 90.00, 90.00 and 90.00 degrees. Symmetry generates all atoms from Cs at (0.153, 0.195, 0.250), Al at (0.000, 0.365, 0.750), O at (0.000, 0.500, 0.000) and O at (0.109, 0.213, 0.750).

The total energy is -5.2727 eV per atom. Its uncorrected formation energy is -1885 meV per atom.

Record 3
Material: Cs3AlO3
Method: DFT, PBE
State: optimized geometry

The space group is P2_1/c (No. 14) and the conventional cell measures 7.908, 13.516 and 7.155 Å, with angles of 90.00, 112.16 and 90.00 degrees. Symmetry generates all atoms from Cs at (0.026, 0.145, 0.442), Cs at (0.237, 0.057, 0.021), Cs at (0.413, 0.699, 0.634), Al at (0.361, 0.546, 0.018), O at (0.172, 0.590, 0.806), O at (0.339, 0.576, 0.248) and O at (0.416, 0.085, 0.489).

The total energy is -4.9078 eV per atom. Its uncorrected formation energy is -1882 meV per atom. As for the relative energy among the computed polymorphs: 0 meV per atom.

Record 4
Material: CsAlO2
Method: DFT, PBE
State: optimized geometry

The space group is R-3m (No. 166, hexagonal axes) and the conventional cell measures 3.1359, 3.1359 and 21.2943 Å, with angles of 90.00, 90.00 and 120.00 degrees. Symmetry generates all atoms from Cs at (0.0000, 0.0000, 0.0000), Al at (0.0000, 0.0000, 0.5000) and O at (0.0000, 0.0000, 0.1228).

The total energy is -5.3120 eV per atom. Its uncorrected formation energy is -1684 meV per atom.

Record 5
Material: CsAlO
Method: DFT, PBE
State: optimized geometry

The space group is P3_221 (No. 154) and the conventional cell measures 6.7315, 6.7315 and 7.3850 Å, with angles of 90.00, 90.00 and 120.00 degrees. Symmetry generates all atoms from Cs at (0.0000, 0.6229, 0.3333), Al at (0.0000, 0.7793, 0.8333) and O at (0.0000, 0.1258, 0.3333).

The total energy is -4.5854 eV per atom. Its uncorrected formation energy is -1401 meV per atom.

Record 6
Material: CsAlO2
Method: DFT, PBE
State: optimized geometry

The space group is I-42d (No. 122) and the conventional cell measures 5.798, 5.798 and 8.213 Å, with angles of 90.00, 90.00 and 90.00 degrees. Symmetry generates all atoms from Cs at (0.000, 0.000, 0.000), Al at (0.000, 0.000, 0.500) and O at (0.004, 0.250, 0.625).

The total energy is -6.1400 eV per atom. Its uncorrected formation energy is -2512 meV per atom.

Record 7
Material: CsAl3O
Method: DFT, PBE
State: optimized geometry

The space group is Pm-3m (No. 221) and the conventional cell measures 6.325, 6.325 and 6.325 Å, with angles of 90.00, 90.00 and 90.00 degrees. Symmetry generates all atoms from Cs at (0.000, 0.000, 0.000), Al at (0.000, 0.000, 0.500) and O at (0.500, 0.500, 0.500).

The total energy is -1.3427 eV per atom. Its uncorrected formation energy is 2065 meV per atom. As for the relative energy among the computed polymorphs: 1740 meV per atom.

Record 8
Material: Cs3AlO3
Method: DFT, PBE
State: optimized geometry

The space group is P2_1/c (No. 14) and the conventional cell measures 8.116, 7.245 and 11.412 Å, with angles of 90.00, 97.72 and 90.00 degrees. Symmetry generates all atoms from Cs at (0.044, 0.124, 0.156), Cs at (0.336, 0.166, 0.929), Cs at (0.374, 0.678, 0.801), Al at (0.141, 0.571, 0.061), O at (0.085, 0.063, 0.422), O at (0.225, 0.707, 0.537) and O at (0.267, 0.050, 0.676).

The total energy is -4.8901 eV per atom. Its uncorrected formation energy is -1865 meV per atom. As for the relative energy among the computed polymorphs: 18 meV per atom.